Below is crystalline Cs3Te4Se2 at its relaxed geometry, with properties calculated at the PBE level.

a = 5.363 Å, b = 12.616 Å, c = 8.744 Å
α = 102.39°, β = 101.85°, γ = 126.13°
Atoms (fractional coordinates):
1 Te 0.618 0.602 0.910
2 Te 0.127 0.354 0.347
3 Te 0.382 0.398 0.090
4 Te 0.873 0.646 0.653
5 Se 0.755 0.098 0.335
6 Cs 0.000 0.000 0.000
7 Cs 0.399 0.736 0.322
8 Cs 0.601 0.264 0.678
9 Se 0.245 0.902 0.665

Computed properties:
The value obtained for the energy above the most stable polymorph in this dataset is 0.0 meV per atom. For the volume, the calculation gives 423.4 Å³/f.u. The calculation puts the formation energy without anion corrections at -0.635 eV per atom. Its space group is P-1 (2). The total energy comes out at -3.090 eV/atom. The total moment comes out at 0.00 μB per formula unit.

***

Below is crystalline Na3OsO at its relaxed geometry, with properties calculated at the PBE level.

a = 4.637 Å, b = 4.637 Å, c = 4.637 Å
α = 90.00°, β = 90.00°, γ = 90.00°
Site moments in Bohr magnetons follow the coordinates.
Atoms (fractional coordinates):
1 Na 0.000 0.000 0.500  -0.01
2 Na 0.000 0.500 0.000  -0.01
3 O 0.000 0.000 0.000  0.15
4 Na 0.500 0.000 0.000  -0.01
5 Os 0.500 0.500 0.500  2.57

Computed properties:
The value obtained for the energy above the most stable polymorph in this dataset is 0.0 meV per atom. For the volume, the calculation gives 99.7 Å³/f.u. The calculation puts the formation energy without anion corrections at 0.431 eV per atom. Its space group is Pm-3m (221). The total energy comes out at -3.598 eV/atom. The total moment comes out at 3.00 μB per formula unit.

***

Below is crystalline K3Er2MgTe6 at its relaxed geometry, with properties calculated at the PBE level.

a = 7.603 Å, b = 7.603 Å, c = 8.740 Å
α = 98.35°, β = 98.35°, γ = 120.04°
Atoms (fractional coordinates):
1 Er 0.666 0.334 0.000
2 Te 0.932 0.603 0.795
3 Te 0.739 0.739 0.206
4 K 0.168 0.832 0.500
5 K 0.500 0.500 0.500
6 Er 0.334 0.666 0.000
7 K 0.832 0.168 0.500
8 Te 0.397 0.068 0.205
9 Te 0.261 0.261 0.794
10 Te 0.603 0.932 0.795
11 Te 0.068 0.397 0.205
12 Mg 0.000 0.000 0.000

Computed properties:
For the volume, the calculation gives 418.5 Å³/f.u. The calculation puts the formation energy without anion corrections at -1.155 eV per atom. Its space group is C2/m (12). The total energy comes out at -3.894 eV/atom. The total moment comes out at 0.00 μB per formula unit.

***

Below is crystalline BaRe2Au at its relaxed geometry, with properties calculated at the PBE level.

a = 5.958 Å, b = 5.958 Å, c = 2.761 Å
α = 90.00°, β = 90.00°, γ = 122.03°
Atoms (fractional coordinates):
1 Au 0.500 0.000 0.500
2 Re 0.500 0.500 0.000
3 Ba 0.000 0.500 0.500
4 Re 0.000 0.000 0.000

Computed properties:
The value obtained for the energy above the most stable polymorph in this dataset is 1045.1 meV per atom. For the volume, the calculation gives 83.1 Å³/f.u. The formation energy is 5.62 eV per formula unit. Its space group is Cmmm (65). The total energy comes out at -6.118 eV/atom. The total moment comes out at 0.00 μB per formula unit.

***

Below is crystalline AlZnPb2Au6 at its relaxed geometry, with properties calculated at the PBE level.

a = 7.226 Å, b = 7.051 Å, c = 4.488 Å
α = 71.67°, β = 72.13°, γ = 89.53°
Atoms (fractional coordinates):
1 Au 0.400 0.295 0.653
2 Au 0.600 0.705 0.347
3 Au 0.643 0.149 0.102
4 Pb 0.869 0.366 0.380
5 Au 0.357 0.851 0.898
6 Au 0.208 0.099 0.347
7 Al 0.500 0.500 0.000
8 Pb 0.131 0.634 0.620
9 Zn 0.000 0.000 0.000
10 Au 0.792 0.901 0.653

Computed properties:
For the volume, the calculation gives 205.6 Å³/f.u. The formation energy is -1.36 eV per formula unit. Its space group is P-1 (2). The total energy comes out at -3.346 eV/atom. The total moment comes out at 0.00 μB per formula unit.

***

Below is crystalline Ce6TmOs4 at its relaxed geometry, with properties calculated at the PBE level.

a = 7.348 Å, b = 7.348 Å, c = 7.348 Å
α = 89.16°, β = 120.49°, γ = 120.49°
Atoms (fractional coordinates):
1 Os 0.402 0.768 0.768
2 Ce 0.000 0.876 0.541
3 Ce 0.000 0.541 0.876
4 Os 0.000 0.232 0.633
5 Os 0.000 0.633 0.232
6 Ce 0.500 0.000 0.500
7 Ce 0.336 0.459 0.459
8 Ce 0.664 0.124 0.124
9 Tm 0.000 0.000 0.000
10 Os 0.598 0.367 0.367
11 Ce 0.500 0.500 0.000

Computed properties:
For the volume, the calculation gives 278.5 Å³/f.u. The formation energy is -0.82 eV per formula unit. Its space group is I-42m (121). The total energy comes out at -7.802 eV/atom. The total moment comes out at 0.00 μB per formula unit.

***

Below is crystalline BaPHPd at its relaxed geometry, with properties calculated at the PBE level.

a = 4.606 Å, b = 4.515 Å, c = 4.656 Å
α = 118.86°, β = 90.00°, γ = 90.00°
Atoms (fractional coordinates):
1 H 0.000 0.000 0.383
2 P 0.000 0.813 0.007
3 Ba 0.500 0.524 0.427
4 Pd 0.000 0.232 0.844

Computed properties:
For the volume, the calculation gives 84.8 Å³/f.u. Its space group is Pm (6). The total energy comes out at -4.636 eV/atom. The total moment comes out at 0.00 μB per formula unit.

***

Below is crystalline La2Tb3Hg2 at its relaxed geometry, with properties calculated at the PBE level.

a = 3.710 Å, b = 3.655 Å, c = 15.780 Å
α = 90.00°, β = 96.75°, γ = 90.00°
Atoms (fractional coordinates):
1 La 0.295 0.500 0.591
2 Tb 0.000 0.000 0.000
3 Tb 0.423 0.500 0.846
4 Hg 0.135 0.000 0.270
5 La 0.705 0.500 0.409
6 Tb 0.577 0.500 0.154
7 Hg 0.865 0.000 0.730

Computed properties:
The value obtained for the energy above the most stable polymorph in this dataset is 0.0 meV per atom. For the volume, the calculation gives 212.5 Å³/f.u. The formation energy is -1.59 eV per formula unit. Its space group is Cmmm (65). The total energy comes out at -3.705 eV/atom. The total moment comes out at 0.00 μB per formula unit.